# 1
MgCr2Cd after structural relaxation, computed with PBE.

Cell: 5.3173 5.2311 2.6467 Å, 83.86 73.31 115.82°
Last column: nearest neighbours and their distance in Å.
Element x y z (fractional)
Cr 0.0000 0.0000 0.0000  4 Cr 2.61-2.65, 2 Cd 2.80, 2 Mg 2.80
Cr 0.5000 0.0000 0.5000  4 Cr 2.61-2.65, 2 Mg 2.80, 2 Cd 2.80
Cd 0.5000 0.5000 0.0000  2 Mg 2.61, 2 Cd 2.65, 4 Cr 2.80
Mg 0.0000 0.5000 0.5000  2 Cd 2.61, 2 Mg 2.65, 4 Cr 2.80

Formation enthalpy at 0 K   0.6324 eV per atom
Uncorrected energy   -19.23 eV per cell
Density of states at the Fermi level   3.27 states/eV/f.u.
Space-group type   C2/m (12)

---

# 2
MgCrCd after structural relaxation, computed with PBE.

Cell: 7.1922 7.0703 2.7825 Å, 81.22 76.30 22.48°
Last column: nearest neighbours and their distance in Å.
Element x y z (fractional)
Cd 0.9906 0.9906 0.0094  4 Cd 2.78, 4 Cr 2.80-3.09, 2 Mg 3.11
Mg 0.6792 0.6792 0.3208  4 Cr 2.70-3.00, 4 Mg 2.78
Cr 0.3302 0.3302 0.6698  4 Mg 2.70-3.00, 4 Cr 2.78, 2 Cd 2.80

Excess energy over the best structure of this formula in the dataset   193 meV/atom
Formation enthalpy at 0 K   0.4865 eV per atom
Uncorrected energy   -10.67 eV per cell
Density of states at the Fermi level   1.80 states/eV/f.u.
Space-group type   Fmm2 (42)

---

# 3
MgCr2Cd after structural relaxation, computed with PBE.

Cell: 4.6302 4.6302 4.6302 Å, 60.00 60.00 60.00°
Last column: nearest neighbours and their distance in Å.
Element x y z (fractional)
Cr 0.0000 0.0000 0.0000  4 Mg 2.84, 4 Cr 2.84
Cr 0.2500 0.2500 0.2500  4 Cd 2.84, 4 Cr 2.84
Mg 0.7500 0.7500 0.7500  4 Cd 2.84, 4 Cr 2.84
Cd 0.5000 0.5000 0.5000  4 Cr 2.84, 4 Mg 2.84

Formation enthalpy at 0 K   0.3478 eV per atom
Uncorrected energy   -20.37 eV per cell
Density of states at the Fermi level   2.91 states/eV/f.u.
Space-group type   F-43m (216)

---

# 4
MgCr2Cd after structural relaxation, computed with PBE.

Cell: 4.6551 4.6551 3.3433 Å, 90.00 90.00 90.00°
Last column: nearest neighbours and their distance in Å.
Element x y z (fractional)
Cr 0.0000 0.0000 0.0000  4 Cd 2.87, 4 Mg 2.87
Cr 0.5000 0.5000 0.0000  4 Cd 2.87, 4 Mg 2.87
Cd 0.0000 0.5000 0.5000  8 Cr 2.87
Mg 0.5000 0.0000 0.5000  8 Cr 2.87

Formation enthalpy at 0 K   0.5141 eV per atom
Uncorrected energy   -19.70 eV per cell
Density of states at the Fermi level   2.22 states/eV/f.u.
Space-group type   P4/mmm (123)